## Li2MoRh (PBE)

Data for Li2MoRh after structural relaxation.

Values from the calculation:
* symmetry: P4/mmm
* energy: -5.026 eV/atom
* ρ: 6.57 g cm⁻³
* M_tot: 0.8 μB per formula unit

Cell lengths 4.572, 4.572, 2.573 Å; angles 90.00, 90.00, 90.00 degrees
Each line ends with the local moment (μB).
Positions (direct):
Li1 0.000 0.000 0.000  0.00
Rh1 0.000 0.500 0.500  0.59
Li2 0.500 0.500 0.000  0.00
Mo1 0.500 0.000 0.500  0.16

---

## AsPbI (PBE)

Data for AsPbI after structural relaxation.

Values from the calculation:
* symmetry: P1
* ρ: 6.67 g cm⁻³
* formation energy from raw total energies: -251 meV per atom
* M_tot: 0.0 μB per formula unit

Cell lengths 4.114, 4.244, 12.027 Å; angles 100.10, 99.75, 90.02 degrees
Positions (direct):
I1 0.276 0.252 0.372
Pb1 0.503 0.514 0.818
As1 0.106 0.459 0.026
I2 0.935 0.909 0.680
As2 0.606 0.082 0.026
Pb2 0.705 0.719 0.233

---

## SiAgP (PBE)

Data for SiAgP after structural relaxation.

Values from the calculation:
* symmetry: Fmm2
* ρ: 5.28 g cm⁻³
* formation energy from raw total energies: 450 meV per atom
* M_tot: 0.0 μB per formula unit

Cell lengths 6.403, 6.074, 3.145 Å; angles 81.30, 69.66, 29.04 degrees
Positions (direct):
P1 0.313 0.313 0.687
Si1 0.682 0.682 0.318
Ag1 0.004 0.004 0.996

---

## Sr2ZnBr (PBE)

Data for Sr2ZnBr after structural relaxation.

Values from the calculation:
* symmetry: Fm-3m
* ρ: 4.02 g cm⁻³
* formation energy from raw total energies: -575 meV per atom
* M_tot: 1.2 μB per formula unit

Cell lengths 5.722, 5.722, 5.722 Å; angles 60.00, 60.00, 60.00 degrees
Each line ends with the local moment (μB).
Positions (direct):
Sr1 0.250 0.250 0.250  0.09
Sr2 0.750 0.750 0.750  0.09
Zn1 0.000 0.000 0.000  0.10
Br1 0.500 0.500 0.500  0.05

---

## Tb3PrSe4 (PBE)

Data for Tb3PrSe4 after structural relaxation.

Values from the calculation:
* symmetry: P6_3/mmc
* ρ: 7.72 g cm⁻³
* formation energy from raw total energies: -1787 meV per atom
* M_tot: 0.0 μB per formula unit

Cell lengths 4.099, 4.099, 27.616 Å; angles 90.00, 90.00, 120.00 degrees
Positions (direct):
Tb1 0.667 0.333 0.121
Pr1 0.667 0.333 0.750
Se1 0.667 0.333 0.939
Pr2 0.333 0.667 0.250
Tb2 0.000 0.000 0.000
Tb3 0.333 0.667 0.879
Se2 0.333 0.667 0.061
Se3 0.333 0.667 0.439
Tb4 0.333 0.667 0.621
Tb5 0.667 0.333 0.379
Tb6 0.000 0.000 0.500
Se4 0.000 0.000 0.681
Se5 0.000 0.000 0.819
Se6 0.000 0.000 0.181
Se7 0.000 0.000 0.319
Se8 0.667 0.333 0.561

---

## SnHOs2 (PBE)

Data for SnHOs2 after structural relaxation.

Values from the calculation:
* symmetry: P1
* energy: -6.983 eV/atom
* ρ: 14.57 g cm⁻³
* M_tot: 0.0 μB per formula unit

Cell lengths 4.669, 4.794, 5.485 Å; angles 106.95, 90.71, 103.05 degrees
Positions (direct):
Os1 0.603 0.983 0.936
Sn1 0.170 0.257 0.210
Os2 0.752 0.588 0.276
Os3 0.118 0.021 0.623
Os4 0.615 0.108 0.458
H1 0.501 0.244 0.785
H2 0.500 0.696 0.083
Sn2 0.000 0.571 0.821

---

## Tb2In5Rh3 (PBE)

Data for Tb2In5Rh3 after structural relaxation.

Values from the calculation:
* symmetry: Cmc2_1
* energy: -5.063 eV/atom
* ρ: 9.30 g cm⁻³
* M_tot: 0.0 μB per formula unit

Cell lengths 4.442, 7.296, 13.414 Å; angles 90.00, 99.53, 90.00 degrees
Positions (direct):
In1 0.873 0.751 0.747
Rh1 0.044 0.013 0.087
Rh2 0.390 0.027 0.779
In2 0.709 0.981 0.417
Tb1 0.526 0.298 0.053
Rh3 0.231 0.181 0.461
Tb2 0.824 0.190 0.648
Rh4 0.610 0.527 0.221
In3 0.291 0.481 0.583
In4 0.053 0.628 0.107
In5 0.706 0.387 0.413
In6 0.403 0.409 0.805
Tb3 0.176 0.690 0.352
Rh5 0.956 0.513 0.913
In7 0.597 0.909 0.195
In8 0.127 0.251 0.253
In9 0.947 0.128 0.893
In10 0.294 0.887 0.587
Rh6 0.769 0.681 0.539
Tb4 0.474 0.798 0.947

---

## LaPm5Er12 (PBE)

Data for LaPm5Er12 after structural relaxation.

Values from the calculation:
* symmetry: C2/m
* energy: -4.535 eV/atom
* ρ: 8.20 g cm⁻³
* M_tot: 0.0 μB per formula unit

Cell lengths 11.396, 10.335, 5.919 Å; angles 90.05, 90.09, 56.54 degrees
Positions (direct):
Er1 0.013 0.333 0.946
Er2 0.987 0.667 0.054
Er3 0.673 0.000 0.952
Er4 0.180 0.000 0.547
Pm1 0.833 0.334 0.500
Er5 0.156 0.334 0.446
Er6 0.490 0.666 0.446
Er7 0.653 0.333 0.054
Er8 0.510 0.334 0.554
Pm2 0.167 0.666 0.500
Pm3 0.330 0.339 0.000
Er9 0.347 0.667 0.946
Pm4 0.670 0.661 0.000
Er10 0.820 0.000 0.453
La1 0.000 0.000 0.000
Er11 0.327 0.000 0.048
Pm5 0.500 0.000 0.500
Er12 0.844 0.666 0.554